# CsRePb

CsRePb after structural relaxation (PBE, OQMD via LeMat-Bulk).

density	7.3	g/cm³
raw total energy	-3.211	eV per atom
total magnetization	1.045	μB per atom

Lattice parameters (Å, degrees): 5.5366 5.5366 5.5366 60.00 60.00 60.00
Last column: nearest neighbours and their distance in Å.
Sites, in units of the cell vectors:
Cs 0.0000 0.0000 0.0000  4 Pb 3.39, 4 Re 3.39
Pb 0.2500 0.2500 0.2500  4 Cs 3.39
Re 0.7500 0.7500 0.7500  4 Cs 3.39

***

# KUAg

KUAg after structural relaxation (PBE, OQMD via LeMat-Bulk).

density	6.1	g/cm³
raw total energy	-3.869	eV per atom
total magnetization	1.339	μB per atom

Lattice parameters (Å, degrees): 5.2929 5.2929 5.2929 60.00 60.00 60.00
Last column: nearest neighbours and their distance in Å.
Sites, in units of the cell vectors:
Ag 0.0000 0.0000 0.0000  4 K 3.24, 4 U 3.24
K 0.2500 0.2500 0.2500  4 Ag 3.24
U 0.7500 0.7500 0.7500  4 Ag 3.24

***

# SrBeAsIr

SrBeAsIr after structural relaxation (PBE, OQMD via LeMat-Bulk).

density	8.7	g/cm³
raw total energy	-4.685	eV per atom
total magnetization	0.001	μB per atom

Lattice parameters (Å, degrees): 4.6129 4.6129 4.6129 60.00 60.00 60.00
Last column: nearest neighbours and their distance in Å.
Sites, in units of the cell vectors:
As 0.2500 0.2500 0.2500  4 Ir 2.82, 4 Sr 2.82
Be 0.7500 0.7500 0.7500  4 Sr 2.82, 4 Ir 2.82
Ir 0.0000 0.0000 0.0000  4 As 2.82, 4 Be 2.82
Sr 0.5000 0.5000 0.5000  4 Be 2.82, 4 As 2.82

***

# SrIn2Cu

SrIn2Cu after structural relaxation (PBE, OQMD via LeMat-Bulk).

density	6.5	g/cm³
raw total energy	-2.823	eV per atom

Lattice parameters (Å, degrees): 5.1730 5.1730 5.1730 60.00 60.00 60.00
Last column: nearest neighbours and their distance in Å.
Sites, in units of the cell vectors:
Cu 0.2500 0.2500 0.2500  4 In 3.17, 4 Sr 3.17
In 0.0000 0.0000 0.0000  4 In 3.17, 4 Cu 3.17
In 0.7500 0.7500 0.7500  4 In 3.17, 4 Sr 3.17
Sr 0.5000 0.5000 0.5000  4 In 3.17, 4 Cu 3.17